Record 1
Material: Y2Ge4Rh3Au
Method: DFT, PBE
State: optimized geometry

abc: 4.2481 4.2481 10.2403
angles: 90.00 90.00 90.00
Element x y z (fractional)
Rh1 0.0000 0.0000 0.5000
Rh2 0.5000 0.0000 0.8763
Rh3 0.0000 0.5000 0.1237
Y1 0.5000 0.0000 0.2384
Y2 0.0000 0.5000 0.7616
Ge1 0.0000 0.0000 0.0000
Ge2 0.0000 0.5000 0.3574
Ge3 0.5000 0.0000 0.6426
Ge4 0.5000 0.5000 0.0000
Au1 0.5000 0.5000 0.5000

## Properties
- Calculated formation energy: -0.740 eV/atom
- Space-group type: P-4m2, No. 115
- V: 185 Å³ per cell



Record 2
Material: Na2Sr5In2
Method: DFT, PBE
State: optimized geometry

abc: 9.1616 9.1497 10.4239
angles: 90.00 63.93 90.00
Element x y z (fractional)
Sr1 0.5000 0.5000 0.0000
Sr2 0.0000 0.0000 0.0000
Sr3 0.9391 0.3238 0.7677
Sr4 0.2068 0.1762 0.2323
Sr5 0.7932 0.8238 0.7677
Sr6 0.2932 0.6762 0.7677
Sr7 0.4391 0.1762 0.7677
Sr8 0.0609 0.6762 0.2323
Sr9 0.7068 0.3238 0.2323
Sr10 0.5609 0.8238 0.2323
In1 0.3806 0.8804 0.0000
In2 0.6194 0.1196 0.0000
In3 0.1194 0.3804 0.0000
In4 0.8806 0.6196 0.0000
Na1 0.7221 0.5000 0.5559
Na2 0.2779 0.5000 0.4441
Na3 0.2221 0.0000 0.5559
Na4 0.7779 0.0000 0.4441

## Properties
- Calculated formation energy: -0.180 eV/atom
- Space-group type: Cmce, No. 64
- V: 785 Å³ per cell



Record 3
Material: SmDyH
Method: DFT, PBE
State: optimized geometry

abc: 3.6597 3.6597 5.6760
angles: 90.00 90.00 120.00
Element x y z (fractional)
H1 0.3333 0.6667 0.6608
Sm1 0.0000 0.0000 0.9117
Dy1 0.6667 0.3333 0.4275

## Properties
- E above lowest polymorph: 0.0 meV per atom
- Space-group type: P3m1, No. 156
- V: 66 Å³ per cell



Record 4
Material: BaZn4Pt
Method: DFT, PBE
State: optimized geometry

abc: 5.4522 5.4522 5.4522
angles: 60.00 60.00 60.00
Element x y z (fractional)
Zn1 0.3719 0.8843 0.3719
Zn2 0.3719 0.3719 0.8843
Zn3 0.3719 0.3719 0.3719
Zn4 0.8843 0.3719 0.3719
Pt1 0.0000 0.0000 0.0000
Ba1 0.7500 0.7500 0.7500

## Properties
- Calculated formation energy: -0.160 eV/atom
- E above lowest polymorph: 196.2 meV per atom
- Space-group type: F-43m, No. 216
- V: 115 Å³ per cell



Record 5
Material: AsRh
Method: DFT, PBE
State: optimized geometry

abc: 4.4661 4.4661 4.4661
angles: 60.00 60.00 60.00
Element x y z (fractional)
As1 0.0000 0.0000 0.0000
As2 0.7500 0.7500 0.7500
Rh1 0.5000 0.5000 0.5000
Rh2 0.2500 0.2500 0.2500

## Properties
- Calculated formation energy: 0.215 eV/atom
- Space-group type: Fd-3m, No. 227
- V: 63 Å³ per cell



Record 6
Material: MgNi
Method: DFT, PBE
State: optimized geometry

abc: 2.9611 2.9636 6.9737
angles: 90.00 90.00 90.00
Element x y z (fractional)
Mg1 0.5000 0.5000 0.6954
Mg2 0.0000 0.0000 0.0546
Ni1 0.0000 0.0000 0.4676
Ni2 0.5000 0.5000 0.2824

## Properties
- Calculated formation energy: -0.037 eV/atom
- Space-group type: P4/nmm, No. 129
- V: 61 Å³ per cell



Record 7
Material: La3Tm6Sc
Method: DFT, PBE
State: optimized geometry

abc: 9.8149 9.8149 6.8265
angles: 44.04 44.04 60.00
Element x y z (fractional)
Tm1 0.4375 0.7743 0.6964
Tm2 0.7743 0.0919 0.6964
Tm3 0.6074 0.2614 0.2068
Tm4 0.0919 0.4375 0.6964
Tm5 0.2614 0.9245 0.2068
Tm6 0.9245 0.6074 0.2068
La1 0.0988 0.0988 0.7036
La2 0.6026 0.6026 0.1923
La3 0.3511 0.3511 0.9466
Sc1 0.8506 0.8506 0.4481

## Properties
- Calculated formation energy: 0.278 eV/atom
- E above lowest polymorph: 122.0 meV per atom
- Space-group type: R3, No. 146
- V: 318 Å³ per cell



Record 8
Material: K2TbHfSe4
Method: DFT, PBE
State: optimized geometry

abc: 4.0384 7.0492 8.0604
angles: 106.68 90.00 90.00
Element x y z (fractional)
Tb1 0.0000 0.0000 0.0000
Se1 0.0000 0.7192 0.2004
Se2 0.5000 0.2506 0.2064
Se3 0.0000 0.2808 0.7996
Se4 0.5000 0.7494 0.7936
K1 0.5000 0.0000 0.5000
K2 0.0000 0.5000 0.5000
Hf1 0.5000 0.5000 0.0000

## Properties
- Calculated total energy: -42.69 eV for the cell shown
- Space-group type: P2/m, No. 10
- V: 220 Å³ per cell



Record 9
Material: Mg3ZnGa2Pd3
Method: DFT, PBE
State: optimized geometry

abc: 2.9522 7.5306 7.5306
angles: 120.00 90.00 90.00
Element x y z (fractional)
Pd1 0.0000 0.3684 0.0000
Pd2 0.0000 0.0000 0.3684
Pd3 0.0000 0.6316 0.6316
Ga1 0.5000 0.6667 0.3333
Ga2 0.5000 0.3333 0.6667
Mg1 0.5000 0.7036 0.0000
Mg2 0.5000 0.2964 0.2964
Mg3 0.5000 0.0000 0.7036
Zn1 0.0000 0.0000 0.0000

## Properties
- Calculated formation energy: -0.458 eV/atom
- Space-group type: P-62m, No. 189
- V: 145 Å³ per cell



Record 10
Material: CaCrCl2
Method: DFT, PBE
State: optimized geometry

abc: 3.7959 4.7726 4.7726
angles: 90.00 90.00 90.00
Element x y z (fractional)
Cl1 0.0000 0.5000 0.5000
Cl2 0.0000 0.0000 0.0000
Cr1 0.5000 0.5000 0.0000
Ca1 0.5000 0.0000 0.5000

## Properties
- E above lowest polymorph: 246.8 meV per atom
- Space-group type: P4/mmm, No. 123
- V: 86 Å³ per cell



Record 11
Material: Sm3Y2Tm6
Method: DFT, PBE
State: optimized geometry

abc: 4.7072 4.7072 16.9348
angles: 97.99 97.99 90.00
Element x y z (fractional)
Sm1 0.0000 0.0000 0.0000
Sm2 0.2032 0.2032 0.4063
Sm3 0.7968 0.7968 0.5937
Tm1 0.6938 0.6938 0.3877
Tm2 0.6221 0.1221 0.2443
Tm3 0.8779 0.3779 0.7557
Tm4 0.3062 0.3062 0.6123
Tm5 0.3779 0.8779 0.7557
Tm6 0.1221 0.6221 0.2443
Y1 0.5467 0.5467 0.0933
Y2 0.4533 0.4533 0.9067

## Properties
- Calculated formation energy: 0.283 eV/atom
- E above lowest polymorph: 77.9 meV per atom
- Space-group type: I4/mmm, No. 139
- V: 368 Å³ per cell



Record 12
Material: BeZnRe
Method: DFT, PBE
State: optimized geometry

abc: 2.7059 2.7059 6.2324
angles: 90.00 90.00 120.00
Element x y z (fractional)
Be1 0.0000 0.0000 0.0037
Zn1 0.3333 0.6667 0.6831
Re1 0.6667 0.3333 0.3132

## Properties
- Calculated formation energy: 0.236 eV/atom
- E above lowest polymorph: 45.5 meV per atom
- Space-group type: P3m1, No. 156
- V: 40 Å³ per cell



Record 13
Material: Rb3HoTm2Te6
Method: DFT, PBE
State: optimized geometry

abc: 7.7807 7.7807 8.9293
angles: 98.35 98.35 120.00
Element x y z (fractional)
Te1 0.0658 0.4009 0.1974
Te2 0.9342 0.5991 0.8026
Te3 0.4009 0.0658 0.1974
Te4 0.7306 0.7306 0.1973
Te5 0.5991 0.9342 0.8026
Te6 0.2694 0.2694 0.8027
Rb1 0.1663 0.8337 0.5000
Rb2 0.5000 0.5000 0.5000
Rb3 0.8337 0.1663 0.5000
Tm1 0.6667 0.3333 0.0000
Tm2 0.3333 0.6667 0.0000
Ho1 0.0000 0.0000 0.0000

## Properties
- Calculated total energy: -51.64 eV for the cell shown
- Space-group type: C2/m, No. 12
- V: 448 Å³ per cell



Record 14
Material: Ba5CdIn2
Method: DFT, PBE
State: optimized geometry

abc: 9.0378 9.0378 11.0736
angles: 114.08 114.08 90.00
Element x y z (fractional)
Ba1 0.8150 0.9742 0.2892
Ba2 0.4742 0.3150 0.2892
Ba3 0.0258 0.5258 0.7108
Ba4 0.5000 0.5000 0.0000
Ba5 0.1850 0.0258 0.7108
Ba6 0.6850 0.1850 0.7108
Ba7 0.5258 0.6850 0.7108
Ba8 0.3150 0.8150 0.2892
Ba9 0.0000 0.0000 0.0000
Ba10 0.9742 0.4742 0.2892
Cd1 0.7500 0.7500 0.5000
Cd2 0.2500 0.2500 0.5000
In1 0.6166 0.1166 0.0000
In2 0.8834 0.6166 0.0000
In3 0.1166 0.3834 0.0000
In4 0.3834 0.8834 0.0000

## Properties
- Calculated formation energy: -0.280 eV/atom
- Space-group type: I4/mcm, No. 140
- V: 739 Å³ per cell



Record 15
Material: BaLa2TlSe
Method: DFT, PBE
State: optimized geometry

abc: 6.0036 6.0036 6.5345
angles: 90.00 90.00 90.00
Element x y z (fractional)
Ba1 0.0000 0.0000 0.5000
La1 0.0000 0.5000 0.0000
La2 0.5000 0.0000 0.0000
Tl1 0.0000 0.0000 0.0000
Se1 0.5000 0.5000 0.5000

## Properties
- Calculated total energy: -17.75 eV for the cell shown
- Space-group type: P4/mmm, No. 123
- V: 236 Å³ per cell



Record 16
Material: Dy2ThAl
Method: DFT, PBE
State: optimized geometry

abc: 3.5249 3.5249 8.8659
angles: 90.00 90.00 90.00
Element x y z (fractional)
Dy1 0.0000 0.0000 0.7822
Dy2 0.0000 0.0000 0.2178
Th1 0.5000 0.5000 0.5000
Al1 0.5000 0.5000 0.0000

## Properties
- Calculated formation energy: -0.183 eV/atom
- E above lowest polymorph: 0.0 meV per atom
- Space-group type: P4/mmm, No. 123
- V: 110 Å³ per cell



Record 17
Material: Co2GeI
Method: DFT, PBE
State: optimized geometry

abc: 5.0862 5.0862 7.2090
angles: 69.34 69.34 90.00
Element x y z (fractional)
Ge1 0.2500 0.7500 0.5000
Ge2 0.5000 0.5000 0.0000
I1 0.7500 0.2500 0.5000
I2 0.0000 0.0000 0.0000
Co1 0.5859 0.1250 0.2500
Co2 0.3750 0.4141 0.7500
Co3 0.8750 0.8359 0.7500
Co4 0.1641 0.6250 0.2500

## Properties
- E above lowest polymorph: 0.0 meV per atom
- Space-group type: I-42d, No. 122
- V: 162 Å³ per cell



Record 18
Material: La3Co3Pb
Method: DFT, PBE
State: optimized geometry

abc: 3.8165 10.2495 10.2495
angles: 120.00 90.00 90.00
Element x y z (fractional)
Co1 0.2500 0.9826 0.8500
Co2 0.2500 0.8674 0.0174
Co3 0.7500 0.1326 0.9826
Co4 0.7500 0.0174 0.1500
Co5 0.2500 0.1500 0.1326
Co6 0.7500 0.8500 0.8674
La1 0.2500 0.3163 0.9525
La2 0.7500 0.9525 0.6362
La3 0.7500 0.6837 0.0475
La4 0.7500 0.3638 0.3163
La5 0.2500 0.0475 0.3638
La6 0.2500 0.6362 0.6837
Pb1 0.7500 0.3333 0.6667
Pb2 0.2500 0.6667 0.3333

## Properties
- Calculated formation energy: -0.221 eV/atom
- Space-group type: P6_3/m, No. 176
- V: 347 Å³ per cell



Record 19
Material: LaMnSi2
Method: DFT, PBE
State: optimized geometry

abc: 4.2357 3.1236 6.0648
angles: 89.99 90.00 90.00
Element x y z (fractional)
La1 0.5000 0.2500 0.2500
Mn1 0.5000 0.7500 0.7500
Si1 0.0000 0.7504 0.9530
Si2 0.0000 0.7496 0.5470

## Properties
- Calculated total energy: -25.58 eV for the cell shown
- Space-group type: Pmmm, No. 47
- V: 80 Å³ per cell



Record 20
Material: LiMn2Fe
Method: DFT, PBE
State: optimized geometry

abc: 2.5411 3.5773 5.1322
angles: 90.00 90.00 90.00
Element x y z (fractional)
Mn1 0.0000 0.0000 0.0036
Mn2 0.5000 0.5000 0.2529
Li1 0.5000 0.5000 0.7465
Fe1 0.0000 0.0000 0.4969

## Properties
- Calculated formation energy: 0.266 eV/atom
- E above lowest polymorph: 43.1 meV per atom
- Space-group type: Pmm2, No. 25
- V: 47 Å³ per cell



Record 21
Material: Ce12RuAu6
Method: DFT, PBE
State: optimized geometry

abc: 7.7784 7.7784 7.7784
angles: 93.64 93.64 93.64
Element x y z (fractional)
Ce1 0.4443 0.5437 0.1609
Ce2 0.8391 0.5557 0.4563
Ce3 0.5557 0.4563 0.8391
Ce4 0.8767 0.6344 0.9651
Ce5 0.1609 0.4443 0.5437
Ce6 0.6344 0.9651 0.8767
Ce7 0.5437 0.1609 0.4443
Ce8 0.1233 0.3656 0.0349
Ce9 0.3656 0.0349 0.1233
Ce10 0.0349 0.1233 0.3656
Ce11 0.9651 0.8767 0.6344
Ce12 0.4563 0.8391 0.5557
Au1 0.2743 0.1330 0.7456
Au2 0.8670 0.2544 0.7257
Au3 0.2544 0.7257 0.8670
Au4 0.7257 0.8670 0.2544
Au5 0.7456 0.2743 0.1330
Au6 0.1330 0.7456 0.2743
Ru1 0.0000 0.0000 0.0000

## Properties
- Calculated formation energy: -0.343 eV/atom
- Space-group type: R-3, No. 148
- V: 468 Å³ per cell



Record 22
Material: Dy2Si2Au3
Method: DFT, PBE
State: optimized geometry

abc: 4.0782 5.7421 6.3670
angles: 96.68 90.00 110.80
Element x y z (fractional)
Au1 0.6903 0.3805 0.8469
Au2 0.0000 0.0000 0.0000
Au3 0.3097 0.6195 0.1531
Si1 0.0812 0.1623 0.6459
Si2 0.9188 0.8377 0.3541
Dy1 0.6327 0.2653 0.3269
Dy2 0.3673 0.7347 0.6731

## Properties
- Calculated total energy: -34.66 eV for the cell shown
- Space-group type: C2/m, No. 12
- V: 138 Å³ per cell



Record 23
Material: AcPr8Ho2
Method: DFT, PBE
State: optimized geometry

abc: 5.6923 8.6442 9.6628
angles: 116.57 107.13 90.00
Element x y z (fractional)
Pr1 0.0000 0.2979 0.0000
Pr2 0.1604 0.1604 0.3207
Pr3 0.6453 0.8473 0.2906
Pr4 0.8396 0.8396 0.6793
Pr5 0.3547 0.5567 0.7094
Pr6 0.6453 0.4433 0.2906
Pr7 0.3547 0.1527 0.7094
Pr8 0.0000 0.7021 0.0000
Ho1 0.2006 0.7006 0.4012
Ho2 0.7994 0.2994 0.5988
Ac1 0.5000 0.0000 0.0000

## Properties
- Calculated formation energy: 0.115 eV/atom
- E above lowest polymorph: 0.0 meV per atom
- Space-group type: Immm, No. 71
- V: 402 Å³ per cell



Record 24
Material: Be2Ni2Ru
Method: DFT, PBE
State: optimized geometry

abc: 6.3021 6.3021 2.5396
angles: 90.00 90.00 90.00
Element x y z (fractional)
Be1 0.6304 0.1304 0.0000
Be2 0.3696 0.8696 0.0000
Be3 0.1304 0.3696 0.0000
Be4 0.8696 0.6304 0.0000
Ni1 0.6639 0.8361 0.5000
Ni2 0.3361 0.1639 0.5000
Ni3 0.8361 0.3361 0.5000
Ni4 0.1639 0.6639 0.5000
Ru1 0.0000 0.0000 0.0000
Ru2 0.5000 0.5000 0.0000

## Properties
- Calculated formation energy: -0.250 eV/atom
- E above lowest polymorph: 0.0 meV per atom
- Space-group type: P4/mbm, No. 127
- V: 101 Å³ per cell